[1]
Below is a geometry-optimized AsPdAu2 structure, with properties calculated at the PBE level.

Computed properties:
ΔH_f (0 K) = 0.054 eV per atom
crystal system = tetragonal
size of the total moment = 0.0 μB/f.u.
space-group type = No. 122

Cell lengths 5.9213, 5.9213, 5.9213 Å; angles 101.72, 101.72, 126.42 degrees
Atoms (fractional coordinates):
As1 0.0000 0.0000 0.0000
As2 0.7500 0.2500 0.5000
Pd1 0.2500 0.7500 0.5000
Pd2 0.5000 0.5000 0.0000
Au1 0.1061 0.6250 0.9811
Au2 0.3750 0.3561 0.4811
Au3 0.6439 0.1250 0.0189
Au4 0.8750 0.8939 0.5189

***

[2]
Below is a geometry-optimized PaNbS3 structure, with properties calculated at the PBE level.

Computed properties:
crystal system = orthorhombic
size of the total moment = 0.9 μB/f.u.
space-group type = No. 62
E_form (uncorrected) = -1.32 eV/atom

Cell lengths 7.2218, 8.7973, 6.0825 Å; angles 90.00, 90.00, 90.00 degrees
Atoms (fractional coordinates):
Pa1 0.1202 0.2500 0.0582
Pa2 0.3798 0.7500 0.5582
Pa3 0.6202 0.2500 0.4418
Pa4 0.8798 0.7500 0.9418
Nb1 0.0000 0.0000 0.5000
Nb2 0.0000 0.5000 0.5000
Nb3 0.5000 0.0000 0.0000
Nb4 0.5000 0.5000 0.0000
S1 0.0680 0.7500 0.3223
S2 0.1819 0.5628 0.8512
S3 0.1819 0.9372 0.8512
S4 0.3181 0.0628 0.3512
S5 0.3181 0.4372 0.3512
S6 0.4320 0.2500 0.8223
S7 0.5680 0.7500 0.1777
S8 0.6819 0.5628 0.6488
S9 0.6819 0.9372 0.6488
S10 0.8181 0.0628 0.1488
S11 0.8181 0.4372 0.1488
S12 0.9320 0.2500 0.6777